No. 1
{
  "formula": "La15Ho2In2",
  "functional": "GGA-PBE",
  "state": "optimized geometry",
  "formation_energy_mev_per_atom": 87,
  "total_magnetization_mub_per_fu": 0.00,
  "spacegroup": "R-3m (166)",
  "lattice_angstrom": [[5.522, 3.188, 6.187], [-5.522, 3.188, 6.187], [0.000, -6.377, 6.187]],
  "species": ["La", "La", "La", "La", "La", "La", "La", "La", "La", "La", "La", "La", "La", "La", "La", "Ho", "Ho", "In", "In"],
  "fractional_positions": [[0.000, 0.000, 0.500], [0.000, 0.291, 0.709], [0.000, 0.500, 0.000], [0.000, 0.709, 0.291], [0.176, 0.602, 0.602], [0.291, 0.000, 0.709], [0.291, 0.709, 0.000], [0.398, 0.398, 0.824], [0.398, 0.824, 0.398], [0.500, 0.000, 0.000], [0.602, 0.176, 0.602], [0.602, 0.602, 0.176], [0.709, 0.000, 0.291], [0.709, 0.291, 0.000], [0.824, 0.398, 0.398], [0.295, 0.295, 0.295], [0.705, 0.705, 0.705], [0.095, 0.095, 0.095], [0.905, 0.905, 0.905]]
}

No. 2
{
  "formula": "LaHo3In2",
  "functional": "GGA-PBE",
  "state": "optimized geometry",
  "formation_energy_mev_per_atom": -347,
  "total_magnetization_mub_per_fu": 0.00,
  "spacegroup": "Pmc2_1 (26)",
  "lattice_angstrom": [[5.238, 0.000, 0.000], [0.000, 9.974, 0.000], [0.000, 0.000, 6.741]],
  "species": ["La", "La", "Ho", "Ho", "Ho", "Ho", "Ho", "Ho", "In", "In", "In", "In"],
  "fractional_positions": [[0.000, 0.039, 0.000], [0.000, 0.961, 0.500], [0.000, 0.323, 0.635], [0.000, 0.677, 0.135], [0.500, 0.191, 0.274], [0.500, 0.458, 0.918], [0.500, 0.542, 0.418], [0.500, 0.809, 0.774], [0.000, 0.363, 0.165], [0.000, 0.637, 0.665], [0.500, 0.147, 0.741], [0.500, 0.853, 0.241]]
}

No. 3
{
  "formula": "La3HoIn3",
  "functional": "GGA-PBE",
  "state": "optimized geometry",
  "formation_energy_mev_per_atom": -299,
  "total_magnetization_mub_per_fu": 0.00,
  "spacegroup": "C2/m (12)",
  "lattice_angstrom": [[4.224, -5.443, 0.000], [4.224, 5.443, 0.000], [-0.397, 0.000, 9.920]],
  "species": ["La", "La", "La", "La", "La", "La", "Ho", "Ho", "In", "In", "In", "In", "In", "In"],
  "fractional_positions": [[0.179, 0.821, 0.000], [0.241, 0.759, 0.500], [0.403, 0.403, 0.181], [0.597, 0.597, 0.819], [0.759, 0.241, 0.500], [0.821, 0.179, 0.000], [0.277, 0.277, 0.541], [0.723, 0.723, 0.459], [0.023, 0.023, 0.273], [0.057, 0.474, 0.761], [0.474, 0.057, 0.761], [0.526, 0.943, 0.239], [0.943, 0.526, 0.239], [0.977, 0.977, 0.727]]
}

No. 4
{
  "formula": "La3Ho4In2",
  "functional": "GGA-PBE",
  "state": "optimized geometry",
  "formation_energy_mev_per_atom": -110,
  "total_magnetization_mub_per_fu": 0.00,
  "spacegroup": "C2/c (15)",
  "lattice_angstrom": [[6.609, -6.776, 0.000], [6.609, 6.776, 0.000], [-0.571, 0.000, 6.459]],
  "species": ["La", "La", "La", "La", "La", "La", "Ho", "Ho", "Ho", "Ho", "Ho", "Ho", "Ho", "Ho", "In", "In", "In", "In"],
  "fractional_positions": [[0.036, 0.964, 0.750], [0.321, 0.465, 0.412], [0.465, 0.321, 0.912], [0.535, 0.679, 0.088], [0.679, 0.535, 0.588], [0.964, 0.036, 0.250], [0.018, 0.675, 0.409], [0.171, 0.609, 0.916], [0.325, 0.982, 0.091], [0.391, 0.829, 0.584], [0.609, 0.171, 0.416], [0.675, 0.018, 0.909], [0.829, 0.391, 0.084], [0.982, 0.325, 0.591], [0.138, 0.280, 0.036], [0.280, 0.138, 0.536], [0.720, 0.862, 0.464], [0.862, 0.720, 0.964]]
}

No. 5
{
  "formula": "La12Ho3In",
  "functional": "GGA-PBE",
  "state": "optimized geometry",
  "formation_energy_mev_per_atom": -60,
  "total_magnetization_mub_per_fu": 0.00,
  "spacegroup": "P4/mmm (123)",
  "lattice_angstrom": [[5.156, 0.000, 0.000], [0.000, 5.156, 0.000], [0.000, 0.000, 20.798]],
  "species": ["La", "La", "La", "La", "La", "La", "La", "La", "La", "La", "La", "La", "Ho", "Ho", "Ho", "In"],
  "fractional_positions": [[0.000, 0.000, 0.000], [0.000, 0.000, 0.249], [0.000, 0.000, 0.500], [0.000, 0.000, 0.751], [0.000, 0.500, 0.122], [0.000, 0.500, 0.374], [0.000, 0.500, 0.626], [0.000, 0.500, 0.878], [0.500, 0.000, 0.122], [0.500, 0.000, 0.374], [0.500, 0.000, 0.626], [0.500, 0.000, 0.878], [0.500, 0.500, 0.249], [0.500, 0.500, 0.500], [0.500, 0.500, 0.751], [0.500, 0.500, 0.000]]
}

No. 6
{
  "formula": "LaHo2In4",
  "functional": "GGA-PBE",
  "state": "optimized geometry",
  "formation_energy_mev_per_atom": -299,
  "total_magnetization_mub_per_fu": 0.00,
  "spacegroup": "P4/mmm (123)",
  "lattice_angstrom": [[5.229, 0.000, 0.000], [0.000, 5.229, 0.000], [0.000, 0.000, 7.670]],
  "species": ["La", "Ho", "Ho", "In", "In", "In", "In"],
  "fractional_positions": [[0.000, 0.000, 0.000], [0.000, 0.000, 0.500], [0.500, 0.500, 0.000], [0.000, 0.500, 0.279], [0.000, 0.500, 0.721], [0.500, 0.000, 0.279], [0.500, 0.000, 0.721]]
}

Repeat the fifth record exactly.
{
  "formula": "La12Ho3In",
  "functional": "GGA-PBE",
  "state": "optimized geometry",
  "formation_energy_mev_per_atom": -60,
  "total_magnetization_mub_per_fu": 0.00,
  "spacegroup": "P4/mmm (123)",
  "lattice_angstrom": [[5.156, 0.000, 0.000], [0.000, 5.156, 0.000], [0.000, 0.000, 20.798]],
  "species": ["La", "La", "La", "La", "La", "La", "La", "La", "La", "La", "La", "La", "Ho", "Ho", "Ho", "In"],
  "fractional_positions": [[0.000, 0.000, 0.000], [0.000, 0.000, 0.249], [0.000, 0.000, 0.500], [0.000, 0.000, 0.751], [0.000, 0.500, 0.122], [0.000, 0.500, 0.374], [0.000, 0.500, 0.626], [0.000, 0.500, 0.878], [0.500, 0.000, 0.122], [0.500, 0.000, 0.374], [0.500, 0.000, 0.626], [0.500, 0.000, 0.878], [0.500, 0.500, 0.249], [0.500, 0.500, 0.500], [0.500, 0.500, 0.751], [0.500, 0.500, 0.000]]
}